1.
Entry from Alexandria via LeMat-Bulk: a relaxed DyH4Pd crystal (PBE).

Unit cell a=3.7124 b=6.6665 c=5.0630 alpha=90.00 beta=90.00 gamma=90.00
Last column: nearest neighbours and their distance in Å.
Space group Pmmn (No. 59, origin choice 2)
Symmetry-distinct sites (fractional):
Dy1 0.2500 0.2500 0.1135  8 H 2.12-2.36
H1 0.2500 0.2500 0.6343  2 Pd 1.86
H2 0.2500 0.5845 0.0726  1 Pd 1.80
H3 0.2500 0.7500 0.6847  1 Pd 1.68
Pd1 0.2500 0.7500 0.3528  5 H 1.68-1.86

Summary:
DFT total energy (eV for the cell shown): -51.03

---

2.
Entry from Alexandria via LeMat-Bulk: a relaxed DyH5Pd4 crystal (PBE).

Unit cell a=5.5229 b=7.9642 c=5.0771 alpha=90.00 beta=90.00 gamma=90.00
Last column: nearest neighbours and their distance in Å.
Space group Pmmn (No. 59, origin choice 2)
Symmetry-distinct sites (fractional):
Dy1 0.2500 0.2500 0.1641  8 H 2.61-2.89, 4 Pd 2.77-2.91
H1 0.0218 0.5761 0.1545  3 Pd 1.77-1.93
H2 0.2500 0.7500 0.6391  4 Pd 1.89-1.91
Pd1 0.0094 0.7500 0.3696  3 H 1.77-1.91
Pd2 0.2500 0.5619 0.8666  5 H 1.86-1.93

Summary:
DFT total energy (eV for the cell shown): -89.36

---

3.
Entry from Alexandria via LeMat-Bulk: a relaxed DyHPd crystal (PBE).

Unit cell a=5.9371 b=4.0450 c=9.0541 alpha=90.00 beta=90.00 gamma=90.00
Last column: nearest neighbours and their distance in Å.
Space group Pnma (No. 62)
Symmetry-distinct sites (fractional):
Dy1 0.1513 0.2500 0.1370  3 H 2.20-2.22
H1 0.0970 0.7500 0.0470  1 Pd 1.85
Pd1 0.1328 0.2500 0.4453  1 H 1.85

Summary:
DFT total energy (eV for the cell shown): -58.86

---

4.
Entry from Alexandria via LeMat-Bulk: a relaxed DyHPd6 crystal (PBE).

Unit cell a=5.5009 b=5.5009 c=14.6841 alpha=90.00 beta=90.00 gamma=120.00
Last column: nearest neighbours and their distance in Å.
Space group R-3m (No. 166, hexagonal axes)
Symmetry-distinct sites (fractional):
Dy1 0.0000 0.0000 0.0000  12 Pd 3.05
H1 0.0000 0.0000 0.5000  6 Pd 1.98
Pd1 0.0079 0.5039 0.9098  1 H 1.98

Summary:
DFT total energy (eV for the cell shown): -124.27

---

5.
Entry from Alexandria via LeMat-Bulk: a relaxed DyHPd2Pt crystal (PBE).

Unit cell a=4.1752 b=4.1752 c=4.1430 alpha=90.00 beta=90.00 gamma=90.00
Last column: nearest neighbours and their distance in Å.
Space group P4/mmm (No. 123)
Symmetry-distinct sites (fractional):
Dy1 0.0000 0.0000 0.0000  8 Pd 2.94, 4 Pt 2.95
H1 0.5000 0.5000 0.5000  2 Pt 2.07, 4 Pd 2.09
Pd1 0.0000 0.5000 0.5000  2 H 2.09
Pt1 0.5000 0.5000 0.0000  2 H 2.07

Summary:
DFT total energy (eV for the cell shown): -28.12

---

6.
Entry from Alexandria via LeMat-Bulk: a relaxed DyH4Pd2Pt crystal (PBE).

Unit cell a=7.1658 b=6.3280 c=5.1459 alpha=90.00 beta=134.07 gamma=90.00
Last column: nearest neighbours and their distance in Å.
Space group C2 (No. 5)
Symmetry-distinct sites (fractional):
Dy1 0.0000 0.0000 0.0000  8 H 2.38-2.54
H1 0.1925 0.7038 0.9777  1 Pt 1.82, 2 Pd 1.94-1.98
H2 0.2071 0.3041 0.4002  1 Pt 1.81, 2 Pd 1.91-1.94
Pd1 0.0000 0.2499 0.5000  4 H 1.91-1.98
Pd2 0.0000 0.5010 0.0000  4 H 1.94
Pt1 0.0000 0.7488 0.5000  4 H 1.81-1.82

Summary:
DFT total energy (eV for the cell shown): -76.27

---

Calculated values (states/eV/cell) of Fermi-level density of states for the records, taken in order: 2.02, 4.53, 1.07, 25.30, 0.95, 4.24.